This record from Alexandria via LeMat-Bulk describes a geometry-optimized Sm3AlHg structure. The functional is PBE.

Structure (POSCAR):
```
Sm3AlHg
1.0
2.658 -9.947 0.000
2.658 9.947 0.000
0.000 0.000 5.320
Sm Al Hg
6 2 2
Direct
0.061 0.939 0.750
0.248 0.752 0.750
0.434 0.566 0.750
0.566 0.434 0.250
0.752 0.248 0.250
0.939 0.061 0.250
0.155 0.845 0.250
0.845 0.155 0.750
0.345 0.655 0.250
0.655 0.345 0.750
```

DFT formation energy (meV per atom): -291.8

This record from Alexandria via LeMat-Bulk describes a geometry-optimized GePb6 structure. The functional is PBE.

Structure (POSCAR):
```
GePb6
1.0
-4.289 4.289 4.289
4.289 -4.289 4.289
4.289 4.289 -4.289
Ge Pb
1 6
Direct
0.000 0.000 0.000
0.250 0.500 0.750
0.250 0.750 0.500
0.500 0.250 0.750
0.500 0.750 0.250
0.750 0.250 0.500
0.750 0.500 0.250
```

DFT formation energy (meV per atom): 734.4

This record from Alexandria via LeMat-Bulk describes a geometry-optimized SrPt2Pb structure. The functional is PBE.

Structure (POSCAR):
```
SrPt2Pb
1.0
4.102 -2.371 0.000
4.102 2.371 0.000
-2.745 0.000 5.183
Sr Pt Pb
1 2 1
Direct
0.000 0.000 0.000
0.202 0.202 0.607
0.798 0.798 0.393
0.500 0.500 0.500
```

DFT formation energy (meV per atom): -495.3

This record from Alexandria via LeMat-Bulk describes a geometry-optimized Th2TlCd2 structure. The functional is PBE.

Structure (POSCAR):
```
Th2TlCd2
1.0
7.629 0.000 0.000
0.000 7.629 0.000
0.000 0.000 4.847
Th Tl Cd
4 2 4
Direct
0.166 0.334 0.000
0.334 0.834 0.000
0.666 0.166 0.000
0.834 0.666 0.000
0.000 0.000 0.500
0.500 0.500 0.500
0.132 0.632 0.500
0.368 0.132 0.500
0.632 0.868 0.500
0.868 0.368 0.500
```

DFT formation energy (meV per atom): -58.6

This record from Alexandria via LeMat-Bulk describes a geometry-optimized BeH3Se structure. The functional is PBE.

Structure (POSCAR):
```
BeH3Se
1.0
3.389 0.000 0.000
0.000 3.389 0.000
0.000 0.000 3.389
Be H Se
1 3 1
Direct
0.000 0.000 0.000
0.000 0.000 0.500
0.000 0.500 0.000
0.500 0.000 0.000
0.500 0.500 0.500
```

Total DFT energy (no corrections) (eV per atom): -2.6750

This record from Alexandria via LeMat-Bulk describes a geometry-optimized Ga2SnSe3 structure. The functional is PBE.

Structure (POSCAR):
```
Ga2SnSe3
1.0
6.592 0.000 0.000
0.000 3.916 0.000
-2.656 0.000 13.561
Ga Sn Se
4 2 6
Direct
0.062 0.250 0.415
0.287 0.750 0.910
0.713 0.250 0.090
0.938 0.750 0.585
0.103 0.750 0.174
0.897 0.250 0.826
0.179 0.250 0.600
0.292 0.250 0.053
0.309 0.250 0.313
0.691 0.750 0.687
0.708 0.750 0.947
0.821 0.750 0.400
```

Formation energy (no corrections) (eV per atom): -0.3876

This record from Alexandria via LeMat-Bulk describes a geometry-optimized Li2InSi structure. The functional is PBE.

Structure (POSCAR):
```
Li2InSi
1.0
1.520 0.878 9.158
-1.520 0.878 9.158
0.000 -1.755 9.158
Li In Si
2 1 1
Direct
0.243 0.243 0.243
0.757 0.757 0.757
0.000 0.000 0.000
0.500 0.500 0.500
```

Formation energy (no corrections) (eV per atom): -0.0118

This record from Alexandria via LeMat-Bulk describes a geometry-optimized MgInBr5 structure. The functional is PBE.

Structure (POSCAR):
```
MgInBr5
1.0
5.267 -5.396 0.000
5.267 5.396 0.000
-4.786 0.000 8.875
Mg In Br
2 2 10
Direct
0.000 0.000 0.000
0.000 0.000 0.500
0.373 0.627 0.750
0.627 0.373 0.250
0.061 0.939 0.250
0.237 0.727 0.522
0.261 0.329 0.152
0.273 0.763 0.978
0.329 0.261 0.652
0.671 0.739 0.348
0.727 0.237 0.022
0.739 0.671 0.848
0.763 0.273 0.478
0.939 0.061 0.750
```

Formation energy (no corrections) (eV per atom): -1.0147

This record from Alexandria via LeMat-Bulk describes a geometry-optimized Nd2PuScSb4 structure. The functional is PBE.

Structure (POSCAR):
```
Nd2PuScSb4
1.0
7.627 0.000 0.000
0.000 4.428 0.000
-2.547 0.000 7.195
Nd Pu Sc Sb
2 1 1 4
Direct
0.000 0.000 0.000
0.500 0.500 0.000
0.000 0.500 0.500
0.500 0.000 0.500
0.252 0.000 0.736
0.263 0.500 0.269
0.737 0.500 0.731
0.748 0.000 0.264
```

Formation energy (no corrections) (eV per atom): -0.9511

This record from Alexandria via LeMat-Bulk describes a geometry-optimized KSrCa2P structure. The functional is PBE.

Structure (POSCAR):
```
KSrCa2P
1.0
5.776 0.000 0.000
0.000 5.776 0.000
0.000 0.000 6.121
K Sr Ca P
1 1 2 1
Direct
0.000 0.000 0.000
0.500 0.500 0.000
0.000 0.500 0.500
0.500 0.000 0.500
0.500 0.500 0.500
```

DFT formation energy (meV per atom): -403.9

This record from Alexandria via LeMat-Bulk describes a geometry-optimized Rb5S2N2 structure. The functional is PBE.

Structure (POSCAR):
```
Rb5S2N2
1.0
9.822 -2.758 0.000
9.822 2.758 0.000
-0.639 0.000 6.115
Rb S N
5 2 2
Direct
0.000 0.000 0.000
0.226 0.226 0.771
0.405 0.405 0.614
0.595 0.595 0.386
0.774 0.774 0.229
0.165 0.165 0.248
0.835 0.835 0.752
0.456 0.456 0.151
0.544 0.544 0.849
```

Formation energy (no corrections) (eV per atom): 0.1813

This record from Alexandria via LeMat-Bulk describes a geometry-optimized NbAgTeN2 structure. The functional is PBE.

Structure (POSCAR):
```
NbAgTeN2
1.0
4.093 0.000 0.000
0.000 4.093 0.000
0.000 0.000 5.321
Nb Ag Te N
1 1 1 2
Direct
0.000 0.000 0.000
0.500 0.500 0.500
0.500 0.500 0.000
0.000 0.500 0.500
0.500 0.000 0.500
```

Formation energy (no corrections) (eV per atom): 1.9976